1.
Material: TmNiSn2
Method: DFT, GGA-PBEsol
State: optimized geometry

Cell: 15.826 4.363 14.273 Å, 90.00 90.00 90.00°
Sites, in units of the cell vectors:
Tm 0.128 0.250 0.225
Tm 0.147 0.750 0.602
Tm 0.150 0.250 0.970
Tm 0.350 0.750 0.470
Tm 0.353 0.250 0.102
Tm 0.372 0.750 0.725
Tm 0.628 0.250 0.275
Tm 0.647 0.750 0.898
Tm 0.650 0.250 0.530
Tm 0.850 0.750 0.030
Tm 0.853 0.250 0.398
Tm 0.872 0.750 0.775
Ni 0.053 0.750 0.106
Ni 0.192 0.250 0.743
Ni 0.200 0.250 0.452
Ni 0.300 0.750 0.952
Ni 0.308 0.750 0.243
Ni 0.447 0.250 0.606
Ni 0.553 0.750 0.394
Ni 0.692 0.250 0.757
Ni 0.700 0.250 0.048
Ni 0.800 0.750 0.548
Ni 0.808 0.750 0.257
Ni 0.947 0.250 0.894
Sn 0.020 0.750 0.921
Sn 0.030 0.250 0.735
Sn 0.042 0.250 0.447
Sn 0.175 0.750 0.367
Sn 0.183 0.750 0.822
Sn 0.214 0.750 0.102
Sn 0.286 0.250 0.602
Sn 0.317 0.250 0.322
Sn 0.325 0.250 0.867
Sn 0.458 0.750 0.947
Sn 0.470 0.750 0.235
Sn 0.480 0.250 0.421
Sn 0.520 0.750 0.579
Sn 0.530 0.250 0.765
Sn 0.542 0.250 0.053
Sn 0.675 0.750 0.133
Sn 0.683 0.750 0.678
Sn 0.714 0.750 0.398
Sn 0.786 0.250 0.898
Sn 0.817 0.250 0.178
Sn 0.825 0.250 0.633
Sn 0.958 0.750 0.553
Sn 0.970 0.750 0.265
Sn 0.980 0.250 0.079

Results
The value obtained for the formation energy is -600 meV per atom. As for the space-group type: Pnma (62). For the energy, the calculation gives -5.4935 eV/atom.

***

2.
Material: YNiSn
Method: DFT, GGA-PBEsol
State: optimized geometry

Cell: 7.050 4.407 7.581 Å, 90.00 90.00 90.00°
Sites, in units of the cell vectors:
Y 0.013 0.250 0.199
Y 0.487 0.750 0.699
Y 0.513 0.250 0.301
Y 0.987 0.750 0.801
Ni 0.201 0.750 0.413
Ni 0.299 0.250 0.913
Ni 0.701 0.750 0.087
Ni 0.799 0.250 0.587
Sn 0.186 0.250 0.586
Sn 0.314 0.750 0.086
Sn 0.686 0.250 0.914
Sn 0.814 0.750 0.414

Results
The value obtained for the formation energy is -735 meV per atom. As for the space-group type: Pnma (62). For the energy, the calculation gives -6.4814 eV/atom.

***

3.
Material: Y2Ni2Sn
Method: DFT, GGA-PBEsol
State: optimized geometry

Cell: 4.196 5.571 8.231 Å, 90.00 90.00 90.00°
Sites, in units of the cell vectors:
Y 0.000 0.000 0.203
Y 0.000 0.000 0.797
Y 0.500 0.500 0.297
Y 0.500 0.500 0.703
Ni 0.000 0.288 0.500
Ni 0.000 0.712 0.500
Ni 0.500 0.212 0.000
Ni 0.500 0.788 0.000
Sn 0.000 0.500 0.000
Sn 0.500 0.000 0.500

Results
The value obtained for the formation energy is -621 meV per atom. As for the space-group type: Immm (71). For the energy, the calculation gives -6.6645 eV/atom.

***

4.
Material: Y2Ni2Sn
Method: DFT, GGA-PBEsol
State: optimized geometry

Cell: 5.241 5.241 7.464 Å, 90.00 90.00 90.00°
Sites, in units of the cell vectors:
Y 0.000 0.500 0.250
Y 0.000 0.500 0.750
Y 0.500 0.000 0.250
Y 0.500 0.000 0.750
Ni 0.000 0.000 0.148
Ni 0.000 0.000 0.852
Ni 0.500 0.500 0.352
Ni 0.500 0.500 0.648
Sn 0.000 0.000 0.500
Sn 0.500 0.500 0.000

Results
The value obtained for the formation energy is -388 meV per atom. As for the space-group type: I4/mmm (139). For the energy, the calculation gives -6.4316 eV/atom.